(1)
Below is an optimized crystal structure of SiOs2, with properties calculated at the GGA-PBE level.

Calculated values
Spin magnetization, Bohr magnetons per cell: 0.0
Crystal system: tetragonal
E_form (uncorrected), kJ/mol of formula units: 30

CIF file:
```
data_SiOs2
_chemical_formula_sum 'Si2 Os4'
_cell_length_a 10.4508
_cell_length_b 10.4508
_cell_length_c 10.4508
_cell_angle_alpha 164.18
_cell_angle_beta 164.18
_cell_angle_gamma 22.44
_symmetry_space_group_name_H-M 'P 1'
_symmetry_Int_Tables_number 1
_symmetry_space_group_name_Hall 'P 1'
loop_
_atom_site_label
_atom_site_fract_x
_atom_site_fract_y
_atom_site_fract_z
Si1 0.3750 0.6250 0.7500
Si2 0.6250 0.3750 0.2500
Os1 0.0537 0.8037 0.2500
Os2 0.1963 0.9463 0.2500
Os3 0.8037 0.0537 0.7500
Os4 0.9463 0.1963 0.7500
```

=====

(2)
Below is an optimized crystal structure of SiOs3, with properties calculated at the GGA-PBE level.

Calculated values
Spin magnetization, Bohr magnetons per cell: 0.0
Crystal system: orthorhombic
E_form (uncorrected), kJ/mol of formula units: 64

CIF file:
```
data_SiOs3
_chemical_formula_sum 'Si2 Os6'
_cell_length_a 4.3154
_cell_length_b 5.4587
_cell_length_c 4.7445
_cell_angle_alpha 90.00
_cell_angle_beta 90.00
_cell_angle_gamma 90.00
_symmetry_space_group_name_H-M 'P 1'
_symmetry_Int_Tables_number 1
_symmetry_space_group_name_Hall 'P 1'
loop_
_atom_site_label
_atom_site_fract_x
_atom_site_fract_y
_atom_site_fract_z
Si1 0.2500 0.2500 0.1428
Si2 0.7500 0.7500 0.8572
Os1 0.2500 0.5066 0.6475
Os2 0.2500 0.7500 0.1493
Os3 0.2500 0.9934 0.6475
Os4 0.7500 0.0066 0.3525
Os5 0.7500 0.2500 0.8507
Os6 0.7500 0.4934 0.3525
```

=====

(3)
Below is an optimized crystal structure of SiOs, with properties calculated at the GGA-PBE level.

Calculated values
Spin magnetization, Bohr magnetons per cell: 0.0
Crystal system: hexagonal
E_form (uncorrected), kJ/mol of formula units: 48

CIF file:
```
data_SiOs
_chemical_formula_sum 'Si6 Os6'
_cell_length_a 9.9131
_cell_length_b 9.9131
_cell_length_c 2.9032
_cell_angle_alpha 90.00
_cell_angle_beta 90.00
_cell_angle_gamma 120.00
_symmetry_space_group_name_H-M 'P 1'
_symmetry_Int_Tables_number 1
_symmetry_space_group_name_Hall 'P 1'
loop_
_atom_site_label
_atom_site_fract_x
_atom_site_fract_y
_atom_site_fract_z
Si1 0.1051 0.3843 0.2500
Si2 0.2793 0.8949 0.2500
Si3 0.3843 0.2793 0.7500
Si4 0.6157 0.7207 0.2500
Si5 0.7207 0.1051 0.7500
Si6 0.8949 0.6157 0.7500
Os1 0.0864 0.6329 0.2500
Os2 0.3671 0.4534 0.2500
Os3 0.4534 0.0864 0.7500
Os4 0.5466 0.9136 0.2500
Os5 0.6329 0.5466 0.7500
Os6 0.9136 0.3671 0.7500
```

=====

(4)
Below is an optimized crystal structure of SiOs, with properties calculated at the GGA-PBE level.

Calculated values
Spin magnetization, Bohr magnetons per cell: 0.0
Crystal system: orthorhombic
E_form (uncorrected), kJ/mol of formula units: -41

CIF file:
```
data_SiOs
_chemical_formula_sum 'Si2 Os2'
_cell_length_a 4.6000
_cell_length_b 4.6000
_cell_length_c 4.6000
_cell_angle_alpha 141.45
_cell_angle_beta 101.37
_cell_angle_gamma 91.19
_symmetry_space_group_name_H-M 'P 1'
_symmetry_Int_Tables_number 1
_symmetry_space_group_name_Hall 'P 1'
loop_
_atom_site_label
_atom_site_fract_x
_atom_site_fract_y
_atom_site_fract_z
Si1 0.2101 0.0000 0.2101
Si2 0.7899 0.0000 0.7899
Os1 0.3429 0.3429 0.0000
Os2 0.7702 0.2702 0.5000
```